(1)
Dy12OsPd6 | PBE | optimized geometry

It has space group R-3 (No. 148, hexagonal axes), with a = 12.5093 Å, b = 12.5093 Å, c = 11.7984 Å, α = 90.00°, β = 90.00° and γ = 120.00°. The inequivalent atoms are Dy at (0.0253, 0.2108, 0.3908), Dy at (0.0394, 0.1995, 0.8794), Os at (0.0000, 0.0000, 0.0000) and Pd at (0.0406, 0.2640, 0.6427).

The calculation puts the calculated volume at 28.1 A^3/atom. For the spin magnetization, the calculation gives 0.00 μB/f.u. The calculation puts the formation energy at -503 meV/atom.

(2)
TbCe2Hf | PBE | optimized geometry

It has space group P4/mmm (No. 123), with a = 4.705 Å, b = 4.705 Å, c = 4.928 Å, α = 90.00°, β = 90.00° and γ = 90.00°. The inequivalent atoms are Tb at (0.000, 0.000, 0.000), Ce at (0.000, 0.500, 0.500) and Hf at (0.500, 0.500, 0.000).

The energy above the lowest structure with this stoichiometry comes out at 36.6 meV/atom. The calculation puts the calculated volume at 27.3 A^3/atom. For the spin magnetization, the calculation gives 0.01 μB/f.u. The calculation puts the formation energy at 176 meV/atom.

(3)
SmZrAl | PBE | optimized geometry

It has space group P-6m2 (No. 187), with a = 5.0768 Å, b = 5.0768 Å, c = 3.0714 Å, α = 90.00°, β = 90.00° and γ = 120.00°. The inequivalent atoms are Sm at (0.0000, 0.0000, 0.0000), Zr at (0.3333, 0.6667, 0.0000) and Al at (0.6667, 0.3333, 0.5000).

The energy above the lowest structure with this stoichiometry comes out at 260.8 meV/atom. The calculation puts the calculated volume at 22.9 A^3/atom. For the spin magnetization, the calculation gives 0.00 μB/f.u. The calculation puts the formation energy at 67 meV/atom.

(4)
DyScCu2Ge2 | PBE | optimized geometry

It has space group P-3m1 (No. 164), with a = 4.2063 Å, b = 4.2063 Å, c = 7.0032 Å, α = 90.00°, β = 90.00° and γ = 120.00°. The inequivalent atoms are Dy at (0.0000, 0.0000, 0.0000), Sc at (0.0000, 0.0000, 0.5000), Cu at (0.3333, 0.6667, 0.7105) and Ge at (0.3333, 0.6667, 0.2642).

The calculation puts the calculated volume at 17.9 A^3/atom. For the spin magnetization, the calculation gives 0.00 μB/f.u. The calculation puts the formation energy at -657 meV/atom.

(5)
CdGa2Ag | PBE | optimized geometry

It has space group R-3m (No. 166, hexagonal axes), with a = 4.5828 Å, b = 4.5828 Å, c = 19.3733 Å, α = 90.00°, β = 90.00° and γ = 120.00°. The inequivalent atoms are Cd at (0.0000, 0.0000, 0.0000), Ga at (0.0000, 0.0000, 0.3691) and Ag at (0.0000, 0.0000, 0.5000).

The calculation puts the calculated volume at 29.4 A^3/atom. For the spin magnetization, the calculation gives 0.00 μB/f.u. The calculation puts the formation energy at 357 meV/atom.

(6)
Ac2Al6Au9 | PBE | optimized geometry

It has space group P6/mmm (No. 191), with a = 6.0269 Å, b = 6.0269 Å, c = 11.9699 Å, α = 90.00°, β = 90.00° and γ = 120.00°. The inequivalent atoms are Ac at (0.0000, 0.0000, 0.1852), Al at (0.3333, 0.6667, 0.1655), Al at (0.3333, 0.6667, 0.5000), Au at (0.0000, 0.5000, 0.0000) and Au at (0.0000, 0.5000, 0.3331).

The calculation puts the calculated volume at 22.1 A^3/atom. For the spin magnetization, the calculation gives 0.00 μB/f.u. The calculation puts the formation energy at -474 meV/atom.

(7)
GaPF3 | PBE | optimized geometry

It has space group Pm-3m (No. 221), with a = 4.114 Å, b = 4.114 Å, c = 4.114 Å, α = 90.00°, β = 90.00° and γ = 90.00°. The inequivalent atoms are Ga at (0.000, 0.000, 0.000), P at (0.500, 0.500, 0.500) and F at (0.000, 0.000, 0.500).

The energy above the lowest structure with this stoichiometry comes out at 63.6 meV/atom. The calculation puts the calculated volume at 13.9 A^3/atom. For the spin magnetization, the calculation gives 2.56 μB/f.u. The calculation puts the uncorrected formation energy at -24.60 kcal/mol of atoms.

(8)
Ca4MnCd | PBE | optimized geometry

It has space group F-43m (No. 216), with a = 9.445 Å, b = 9.445 Å, c = 9.445 Å, α = 90.00°, β = 90.00° and γ = 90.00°. The inequivalent atoms are Ca at (0.125, 0.125, 0.125), Mn at (0.000, 0.000, 0.500) and Cd at (0.250, 0.250, 0.750).

The calculation puts the calculated volume at 35.1 A^3/atom. For the spin magnetization, the calculation gives 4.34 μB/f.u. The calculation puts the formation energy at 578 meV/atom.